A plane-wave DFT calculation with PBE with a Hubbard U was carried out for MnZn2CdF8 after structural relaxation.

Values from the calculation:
Theoretical density = 4.30 g/cm3
Total magnetization = 5.0 μB/f.u.
Total energy = -53.6 eV per formula unit
D(E_F) = 0.000 states/eV/atom

Unit cell a=7.042 b=7.042 c=7.004 alpha=90.00 beta=90.00 gamma=90.00
Space group I-4m2 (No. 119)
One atom of each set of equivalent atoms:
Mn (0.000, 0.000, 0.000) [2 per cell]
Zn (0.000, 0.000, 0.500) [2 per cell]
Zn (0.000, 0.500, 0.750) [2 per cell]
Cd (0.000, 0.500, 0.250) [2 per cell]
F (0.000, 0.186, 0.299) [8 per cell]
F (0.000, 0.302, 0.942) [8 per cell]